[1]
Here is a PBEsol-optimized structure of LaIn2Cl from Alexandria. Energies are from meta-GGA SCAN.

abc: 9.981 9.981 9.981
angles: 20.23 20.23 20.23
Positions (direct):
La 0.000 0.000 0.000
In 0.242 0.242 0.242
In 0.758 0.758 0.758
Cl 0.500 0.500 0.500

Summary:
Total moment ... 0.0 μB per cell
Crystal system ... trigonal
Formation energy without anion corrections ... -1.823 eV per formula unit

[2]
Here is a PBEsol-optimized structure of LaIn2Cl from Alexandria. Energies are from meta-GGA SCAN.

abc: 3.735 4.506 6.007
angles: 90.00 90.00 90.00
Positions (direct):
La 0.000 0.000 0.000
In 0.000 0.500 0.500
In 0.500 0.000 0.500
Cl 0.500 0.500 0.000

Summary:
Total moment ... 0.0 μB per cell
Crystal system ... orthorhombic
Formation energy without anion corrections ... -3.725 eV per formula unit

Copy entry 2 word for word.
Here is a PBEsol-optimized structure of LaIn2Cl from Alexandria. Energies are from meta-GGA SCAN.

abc: 3.735 4.506 6.007
angles: 90.00 90.00 90.00
Positions (direct):
La 0.000 0.000 0.000
In 0.000 0.500 0.500
In 0.500 0.000 0.500
Cl 0.500 0.500 0.000

Summary:
Total moment ... 0.0 μB per cell
Crystal system ... orthorhombic
Formation energy without anion corrections ... -3.725 eV per formula unit

Number 1 is which compound?
LaIn2Cl